(1)
# PrMg6In6, relaxed, DFT PBE-GGA
data_PrMg6In6
_symmetry_space_group_name_H-M 'P 1'
_symmetry_Int_Tables_number 1
_cell_length_a 7.8468
_cell_length_b 7.8468
_cell_length_c 7.8468
_cell_angle_alpha 134.35
_cell_angle_beta 102.36
_cell_angle_gamma 94.98
loop_
_symmetry_equiv_pos_as_xyz
'x,y,z'
loop_
_atom_site_label
_atom_site_fract_x
_atom_site_fract_y
_atom_site_fract_z
Pr1 0.0000 0.0000 0.0000
Mg1 0.0000 0.0000 0.5000
Mg2 0.0000 0.5000 0.0000
Mg3 0.2430 0.5000 0.7430
Mg4 0.5000 0.0000 0.0000
Mg5 0.5000 0.5000 0.5000
Mg6 0.7570 0.5000 0.2570
In1 0.1684 0.6684 0.5000
In2 0.3396 0.3396 0.0000
In3 0.3482 0.0000 0.3482
In4 0.6518 0.0000 0.6518
In5 0.6604 0.6604 0.0000
In6 0.8316 0.3316 0.5000
# Volume in Å³ per atom: 24.43
# E in eV/cell: -33.0
# Symmetry: Immm, No. 71



(2)
# Pr3Mg2In, relaxed, DFT PBE-GGA
data_Pr3Mg2In
_symmetry_space_group_name_H-M 'P 1'
_symmetry_Int_Tables_number 1
_cell_length_a 8.7352
_cell_length_b 8.7352
_cell_length_c 3.9287
_cell_angle_alpha 90.00
_cell_angle_beta 90.00
_cell_angle_gamma 143.32
loop_
_symmetry_equiv_pos_as_xyz
'x,y,z'
loop_
_atom_site_label
_atom_site_fract_x
_atom_site_fract_y
_atom_site_fract_z
Pr1 0.0000 0.0000 0.0000
Pr2 0.3346 0.6654 0.0000
Pr3 0.6654 0.3346 0.0000
Mg1 0.1702 0.8298 0.5000
Mg2 0.8298 0.1702 0.5000
In1 0.5000 0.5000 0.5000
# Volume in Å³ per atom: 29.85
# E in eV/cell: -21.8
# Symmetry: Cmmm, No. 65



(3)
# Pr5MgIn4, relaxed, DFT PBE-GGA
data_Pr5MgIn4
_symmetry_space_group_name_H-M 'P 1'
_symmetry_Int_Tables_number 1
_cell_length_a 3.8995
_cell_length_b 3.8995
_cell_length_c 19.6262
_cell_angle_alpha 90.00
_cell_angle_beta 90.00
_cell_angle_gamma 90.00
loop_
_symmetry_equiv_pos_as_xyz
'x,y,z'
loop_
_atom_site_label
_atom_site_fract_x
_atom_site_fract_y
_atom_site_fract_z
Pr1 0.0000 0.0000 0.0000
Pr2 0.0000 0.0000 0.2005
Pr3 0.0000 0.0000 0.4005
Pr4 0.0000 0.0000 0.5995
Pr5 0.0000 0.0000 0.7995
Mg1 0.5000 0.5000 0.5000
In1 0.5000 0.5000 0.1001
In2 0.5000 0.5000 0.3029
In3 0.5000 0.5000 0.6971
In4 0.5000 0.5000 0.8999
# Volume in Å³ per atom: 29.84
# E in eV/cell: -40.6
# Symmetry: P4/mmm, No. 123



(4)
# Pr3Mg5In2, relaxed, DFT PBE-GGA
data_Pr3Mg5In2
_symmetry_space_group_name_H-M 'P 1'
_symmetry_Int_Tables_number 1
_cell_length_a 9.9538
_cell_length_b 9.9538
_cell_length_c 9.9538
_cell_angle_alpha 98.85
_cell_angle_beta 93.15
_cell_angle_gamma 142.30
loop_
_symmetry_equiv_pos_as_xyz
'x,y,z'
loop_
_atom_site_label
_atom_site_fract_x
_atom_site_fract_y
_atom_site_fract_z
Pr1 0.2477 0.1239 0.3716
Pr2 0.2500 0.2500 0.0000
Pr3 0.2523 0.6239 0.8762
Pr4 0.7477 0.3761 0.1238
Pr5 0.7500 0.7500 0.0000
Pr6 0.7523 0.8761 0.6284
Mg1 0.1442 0.3793 0.5236
Mg2 0.2500 0.5057 0.2557
Mg3 0.2500 0.7500 0.5000
Mg4 0.2500 0.9943 0.7443
Mg5 0.3558 0.8793 0.2351
Mg6 0.6442 0.1207 0.7649
Mg7 0.7500 0.0057 0.2557
Mg8 0.7500 0.2500 0.5000
Mg9 0.7500 0.4943 0.7443
Mg10 0.8558 0.6207 0.4764
In1 0.1550 0.8603 0.0154
In2 0.3450 0.3603 0.7053
In3 0.6550 0.6397 0.2947
In4 0.8450 0.1397 0.9846
# Volume in Å³ per atom: 28.50
# E in eV/cell: -58.0
# Symmetry: Ibam, No. 72



(5)
# Pr3Mg4In2, relaxed, DFT PBE-GGA
data_Pr3Mg4In2
_symmetry_space_group_name_H-M 'P 1'
_symmetry_Int_Tables_number 1
_cell_length_a 6.2756
_cell_length_b 6.2756
_cell_length_c 9.6902
_cell_angle_alpha 116.64
_cell_angle_beta 116.64
_cell_angle_gamma 48.38
loop_
_symmetry_equiv_pos_as_xyz
'x,y,z'
loop_
_atom_site_label
_atom_site_fract_x
_atom_site_fract_y
_atom_site_fract_z
Pr1 0.0000 0.0000 0.0000
Pr2 0.3365 0.3365 0.3291
Pr3 0.6635 0.6635 0.6709
Mg1 0.0756 0.0756 0.4058
Mg2 0.2932 0.2932 0.9579
Mg3 0.7068 0.7068 0.0421
Mg4 0.9244 0.9244 0.5942
In1 0.3893 0.3893 0.7241
In2 0.6107 0.6107 0.2759
# Volume in Å³ per atom: 27.61
# E in eV/cell: -28.8
# Symmetry: C2/m, No. 12



(6)
# PrMg4In15, relaxed, DFT PBE-GGA
data_PrMg4In15
_symmetry_space_group_name_H-M 'P 1'
_symmetry_Int_Tables_number 1
_cell_length_a 4.6664
_cell_length_b 4.6664
_cell_length_c 23.2391
_cell_angle_alpha 90.00
_cell_angle_beta 90.00
_cell_angle_gamma 90.00
loop_
_symmetry_equiv_pos_as_xyz
'x,y,z'
loop_
_atom_site_label
_atom_site_fract_x
_atom_site_fract_y
_atom_site_fract_z
Pr1 0.0000 0.0000 0.0000
Mg1 0.0000 0.0000 0.2021
Mg2 0.0000 0.0000 0.4007
Mg3 0.0000 0.0000 0.5993
Mg4 0.0000 0.0000 0.7979
In1 0.0000 0.5000 0.1058
In2 0.0000 0.5000 0.3024
In3 0.0000 0.5000 0.5000
In4 0.0000 0.5000 0.6976
In5 0.0000 0.5000 0.8942
In6 0.5000 0.0000 0.1058
In7 0.5000 0.0000 0.3024
In8 0.5000 0.0000 0.5000
In9 0.5000 0.0000 0.6976
In10 0.5000 0.0000 0.8942
In11 0.5000 0.5000 0.0000
In12 0.5000 0.5000 0.2048
In13 0.5000 0.5000 0.4021
In14 0.5000 0.5000 0.5979
In15 0.5000 0.5000 0.7952
# Volume in Å³ per atom: 25.30
# E in eV/cell: -54.5
# Symmetry: P4/mmm, No. 123



(7)
# PrMg3In2, relaxed, DFT PBE-GGA
data_PrMg3In2
_symmetry_space_group_name_H-M 'P 1'
_symmetry_Int_Tables_number 1
_cell_length_a 9.0398
_cell_length_b 9.0398
_cell_length_c 7.6862
_cell_angle_alpha 109.77
_cell_angle_beta 109.77
_cell_angle_gamma 31.07
loop_
_symmetry_equiv_pos_as_xyz
'x,y,z'
loop_
_atom_site_label
_atom_site_fract_x
_atom_site_fract_y
_atom_site_fract_z
Pr1 0.1181 0.1181 0.1856
Pr2 0.8819 0.8819 0.8144
Mg1 0.0693 0.0693 0.6951
Mg2 0.3025 0.3025 0.0808
Mg3 0.3722 0.3722 0.4958
Mg4 0.6278 0.6278 0.5042
Mg5 0.6975 0.6975 0.9192
Mg6 0.9307 0.9307 0.3049
In1 0.2363 0.2363 0.6700
In2 0.4806 0.4806 0.1689
In3 0.5194 0.5194 0.8311
In4 0.7637 0.7637 0.3300
# Volume in Å³ per atom: 25.30
# E in eV/cell: -33.2
# Symmetry: C2/m, No. 12



(8)
# PrMgIn, relaxed, DFT PBE-GGA
data_PrMgIn
_symmetry_space_group_name_H-M 'P 1'
_symmetry_Int_Tables_number 1
_cell_length_a 5.1031
_cell_length_b 5.1031
_cell_length_c 5.1031
_cell_angle_alpha 60.00
_cell_angle_beta 60.00
_cell_angle_gamma 60.00
loop_
_symmetry_equiv_pos_as_xyz
'x,y,z'
loop_
_atom_site_label
_atom_site_fract_x
_atom_site_fract_y
_atom_site_fract_z
Pr1 0.0000 0.0000 0.0000
Mg1 0.5000 0.5000 0.5000
In1 0.7500 0.7500 0.7500
# Volume in Å³ per atom: 31.32
# E in eV/cell: -9.8
# Symmetry: F-43m, No. 216



(9)
# PrMg2In3, relaxed, DFT PBE-GGA
data_PrMg2In3
_symmetry_space_group_name_H-M 'P 1'
_symmetry_Int_Tables_number 1
_cell_length_a 5.1501
_cell_length_b 5.1501
_cell_length_c 13.3785
_cell_angle_alpha 90.00
_cell_angle_beta 90.00
_cell_angle_gamma 120.00
loop_
_symmetry_equiv_pos_as_xyz
'x,y,z'
loop_
_atom_site_label
_atom_site_fract_x
_atom_site_fract_y
_atom_site_fract_z
Pr1 0.0000 0.0000 0.2500
Pr2 0.0000 0.0000 0.7500
Mg1 0.3333 0.6667 0.1077
Mg2 0.3333 0.6667 0.3923
Mg3 0.6667 0.3333 0.6077
Mg4 0.6667 0.3333 0.8923
In1 0.0000 0.0000 0.0000
In2 0.0000 0.0000 0.5000
In3 0.3333 0.6667 0.6342
In4 0.3333 0.6667 0.8658
In5 0.6667 0.3333 0.1342
In6 0.6667 0.3333 0.3658
# Volume in Å³ per atom: 25.61
# E in eV/cell: -35.6
# Symmetry: P6_3/mmc, No. 194



(10)
# Pr4MgIn2, relaxed, DFT PBE-GGA
data_Pr4MgIn2
_symmetry_space_group_name_H-M 'P 1'
_symmetry_Int_Tables_number 1
_cell_length_a 7.9399
_cell_length_b 6.5188
_cell_length_c 9.2747
_cell_angle_alpha 90.00
_cell_angle_beta 112.71
_cell_angle_gamma 90.00
loop_
_symmetry_equiv_pos_as_xyz
'x,y,z'
loop_
_atom_site_label
_atom_site_fract_x
_atom_site_fract_y
_atom_site_fract_z
Pr1 0.1200 0.2500 0.0592
Pr2 0.1424 0.0030 0.7213
Pr3 0.1424 0.4970 0.7213
Pr4 0.3140 0.7500 0.2919
Pr5 0.6860 0.2500 0.7081
Pr6 0.8576 0.5030 0.2787
Pr7 0.8576 0.9970 0.2787
Pr8 0.8800 0.7500 0.9408
Mg1 0.4596 0.7500 0.6684
Mg2 0.5404 0.2500 0.3316
In1 0.2551 0.2500 0.4547
In2 0.4758 0.7500 0.0130
In3 0.5242 0.2500 0.9870
In4 0.7449 0.7500 0.5453
# Volume in Å³ per atom: 31.63
# E in eV/cell: -54.5
# Symmetry: P2_1/m, No. 11



(11)
# Pr2Mg3In2, relaxed, DFT PBE-GGA
data_Pr2Mg3In2
_symmetry_space_group_name_H-M 'P 1'
_symmetry_Int_Tables_number 1
_cell_length_a 6.2449
_cell_length_b 6.2449
_cell_length_c 7.1964
_cell_angle_alpha 102.45
_cell_angle_beta 102.45
_cell_angle_gamma 45.56
loop_
_symmetry_equiv_pos_as_xyz
'x,y,z'
loop_
_atom_site_label
_atom_site_fract_x
_atom_site_fract_y
_atom_site_fract_z
Pr1 0.1152 0.1152 0.3548
Pr2 0.8848 0.8848 0.6452
Mg1 0.1977 0.1977 0.8810
Mg2 0.5000 0.5000 0.0000
Mg3 0.8023 0.8023 0.1190
In1 0.3944 0.3944 0.3274
In2 0.6056 0.6056 0.6726
# Volume in Å³ per atom: 27.83
# E in eV/cell: -21.6
# Symmetry: C2/m, No. 12



(12)
# Pr5Mg2In5, relaxed, DFT PBE-GGA
data_Pr5Mg2In5
_symmetry_space_group_name_H-M 'P 1'
_symmetry_Int_Tables_number 1
_cell_length_a 5.7507
_cell_length_b 5.7507
_cell_length_c 13.0944
_cell_angle_alpha 101.04
_cell_angle_beta 101.04
_cell_angle_gamma 55.31
loop_
_symmetry_equiv_pos_as_xyz
'x,y,z'
loop_
_atom_site_label
_atom_site_fract_x
_atom_site_fract_y
_atom_site_fract_z
Pr1 0.0000 0.0000 0.0000
Pr2 0.3425 0.3425 0.5035
Pr3 0.4343 0.4343 0.1891
Pr4 0.5657 0.5657 0.8109
Pr5 0.6575 0.6575 0.4965
Mg1 0.1960 0.1960 0.7012
Mg2 0.8040 0.8040 0.2988
In1 0.0000 0.0000 0.5000
In2 0.1252 0.1252 0.2825
In3 0.2928 0.2928 0.9313
In4 0.7072 0.7072 0.0687
In5 0.8748 0.8748 0.7175
# Volume in Å³ per atom: 28.97
# E in eV/cell: -44.3
# Symmetry: C2/m, No. 12



Theoretical density values, unit g/cm3, following the record order: 5.10, 5.43, 6.61, 4.51, 5.01, 6.43, 4.85, 4.95, 5.77, 6.13, 4.98, 6.34.